{
  "formula": "TiMn3Co2P6O24",
  "functional": "PBE+U",
  "state": "optimized geometry",
  "space_group": "R3 (146)",
  "final_energy_ev_per_atom": -7.29,
  "cell": [[-4.7479, 3.0676, 6.3535], [-7.2640, -3.9428, 2.0024], [-0.4597, -4.3584, 7.2879]],
  "species": ["O", "O", "O", "O", "O", "O", "O", "O", "O", "O", "O", "O", "O", "O", "O", "O", "O", "O", "O", "O", "O", "O", "O", "O", "P", "P", "P", "P", "P", "P", "Co", "Co", "Ti", "Mn", "Mn", "Mn"],
  "fractional_positions": [[0.6149, 0.8221, 0.9897], [0.9918, 0.3896, 0.1859], [0.3896, 0.1859, 0.9918], [0.4481, 0.5929, 0.2403], [0.8875, 0.4891, 0.6841], [0.7568, 0.5615, 0.4100], [0.2403, 0.4481, 0.5929], [0.1859, 0.9918, 0.3896], [0.4100, 0.7568, 0.5615], [0.5133, 0.3148, 0.1119], [0.7454, 0.0884, 0.9376], [0.8221, 0.9897, 0.6149], [0.9376, 0.7454, 0.0884], [0.1119, 0.5133, 0.3148], [0.5929, 0.2403, 0.4481], [0.9897, 0.6149, 0.8221], [0.2557, 0.9106, 0.0574], [0.0884, 0.9376, 0.7454], [0.5615, 0.4100, 0.7568], [0.6841, 0.8875, 0.4891], [0.0574, 0.2557, 0.9106], [0.9106, 0.0574, 0.2557], [0.3148, 0.1119, 0.5133], [0.4891, 0.6841, 0.8875], [0.9566, 0.5456, 0.2511], [0.7501, 0.0429, 0.4534], [0.2511, 0.9566, 0.5456], [0.4534, 0.7501, 0.0429], [0.5456, 0.2511, 0.9566], [0.0429, 0.4534, 0.7501], [0.0000, 0.0000, 0.0000], [0.5008, 0.5008, 0.5008], [0.8557, 0.8557, 0.8557], [0.3573, 0.3573, 0.3573], [0.1439, 0.1439, 0.1439], [0.6430, 0.6430, 0.6430]]
}